MnTcPS2 | PBE | relaxed

Properties
E above lowest polymorph = 288.6 meV/atom
total moment = 2.3 Bohr magnetons per cell
VASP energy = -5.81 eV per atom
volume = 16.491 Å³/atom

abc: 4.344 4.344 4.369
angles: 90.00 90.00 90.00
Fractional positions:
Mn 0.000 0.000 0.000
Tc 0.500 0.500 0.500
P 0.000 0.000 0.500
S 0.000 0.500 0.000
S 0.500 0.000 0.000


CsAcCuO3 | PBE | relaxed

Properties
total moment = 0.0 Bohr magnetons per cell
VASP energy = -5.91 eV per atom
volume = 18.766 Å³/atom

abc: 7.165 7.165 8.233
angles: 104.31 104.31 33.47
Fractional positions:
Cs 0.140 0.140 0.064
Cs 0.860 0.860 0.936
Ac 0.149 0.149 0.580
Ac 0.851 0.851 0.420
Cu 0.489 0.489 0.696
Cu 0.511 0.511 0.304
O 0.010 0.010 0.313
O 0.341 0.341 0.622
O 0.365 0.365 0.242
O 0.635 0.635 0.758
O 0.659 0.659 0.378
O 0.990 0.990 0.687